Compound: AsOs2
Source: Alexandria
Functional: GGA-PBE
Structure: optimized geometry

Cell and atoms, written as POSCAR:
```
AsOs2
1.0
-1.4516 1.4516 5.2584
1.4516 -1.4516 5.2584
1.4516 1.4516 -5.2584
As Os
1 2
Direct
0.0000 0.0000 0.0000
0.3321 0.3321 0.0000
0.6679 0.6679 0.0000
```

Values from the calculation:
Magnetic moment ... 0.00 μB per cell
Energy of formation ... 460 meV per atom
Energy ... -25.73 eV per cell